No. 1
A geometry-optimized RbAg2BPt structure, computed with GGA-PBE.

Lattice parameters (Å, degrees): 4.845 4.845 4.205 90.00 90.00 90.00
Space group P4/mmm (No. 123)
Inequivalent atoms, fractional coordinates:
Rb (0.000, 0.000, 0.000)
Ag (0.000, 0.500, 0.500)
B (0.500, 0.500, 0.500)
Pt (0.500, 0.500, 0.000)

Its total energy is -3.618 eV per atom.

No. 2
A geometry-optimized ReAgB2Pt structure, computed with GGA-PBE.

Lattice parameters (Å, degrees): 4.024 4.024 5.352 90.00 90.00 90.00
Space group P4/mmm (No. 123)
Inequivalent atoms, fractional coordinates:
Re (0.000, 0.000, 0.000)
Ag (0.500, 0.500, 0.000)
B (0.000, 0.500, 0.500)
Pt (0.500, 0.500, 0.500)

Its total energy is -5.358 eV per atom.

No. 3
A geometry-optimized Re2AgBPt structure, computed with GGA-PBE.

Lattice parameters (Å, degrees): 4.905 4.905 3.883 90.00 90.00 90.00
Space group P4/mmm (No. 123)
Inequivalent atoms, fractional coordinates:
Re (0.000, 0.500, 0.000)
Ag (0.000, 0.000, 0.500)
B (0.500, 0.500, 0.500)
Pt (0.500, 0.500, 0.000)

Its total energy is -6.067 eV per atom.

No. 4
A geometry-optimized ReAgB2Pt structure, computed with GGA-PBE.

Lattice parameters (Å, degrees): 4.020 4.020 5.164 90.00 90.00 90.00
Space group P4/mmm (No. 123)
Inequivalent atoms, fractional coordinates:
Re (0.000, 0.000, 0.000)
Ag (0.000, 0.000, 0.500)
B (0.000, 0.500, 0.000)
Pt (0.500, 0.500, 0.500)

Its total energy is -5.458 eV per atom.